(1)
DFT (PBE) results for Li4GePbAu2 after structural relaxation.

Geometry as CIF:
```
data_Li4GePbAu2
_cell_length_a 4.4808
_cell_length_b 4.4808
_cell_length_c 6.7057
_cell_angle_alpha 90.00
_cell_angle_beta 90.00
_cell_angle_gamma 90.00
_space_group_name_H-M_alt 'P -4 m 2'
_space_group_IT_number 115
_space_group_name_Hall 'P -4 -2'
loop_
_atom_site_label
_atom_site_type_symbol
_atom_site_fract_x
_atom_site_fract_y
_atom_site_fract_z
_atom_site_occupancy
Li1 Li 0.0000 0.0000 0.0000 1
Li2 Li 0.0000 0.5000 0.7194 1
Li3 Li 0.5000 0.5000 0.5000 1
Ge1 Ge 0.0000 0.0000 0.5000 1
Pb1 Pb 0.5000 0.5000 0.0000 1
Au1 Au 0.0000 0.5000 0.2828 1
```

VASP energy: -3.261 eV per atom

---

(2)
DFT (PBE) results for LiGeAuSe2S after structural relaxation.

Geometry as CIF:
```
data_LiGeAuSe2S
_cell_length_a 3.6560
_cell_length_b 13.6393
_cell_length_c 10.0017
_cell_angle_alpha 90.00
_cell_angle_beta 90.00
_cell_angle_gamma 90.00
_space_group_name_H-M_alt 'C m c m'
_space_group_IT_number 63
_space_group_name_Hall '-C 2c 2'
loop_
_atom_site_label
_atom_site_type_symbol
_atom_site_fract_x
_atom_site_fract_y
_atom_site_fract_z
_atom_site_occupancy
Li1 Li 0.0000 0.1680 0.2500 1
Ge1 Ge 0.0000 0.5000 0.0000 1
Au1 Au 0.0000 0.1593 0.7500 1
Se1 Se 0.0000 0.1368 0.5105 1
S1 S 0.0000 0.4551 0.7500 1
```

VASP energy: -3.791 eV per atom

---

> VASP energy of number 2 (LiGeAuSe2S)?

-3.791 eV per atom